The following is a PBE calculation of crystalline Hf2InIr2 at its relaxed geometry, from Alexandria.

Energy of formation   -568 meV/atom
N(E_F)   5.066 states/eV per cell

Cell: 4.4540 4.4540 6.2525 Å, 69.13 69.13 90.00°
Last column: nearest neighbours and their distance in Å.
Sites, in units of the cell vectors:
Ir 0.3829 0.3829 0.2342  1 Ir 2.53, 4 Hf 2.65
Ir 0.6171 0.6171 0.7658  1 Ir 2.53, 4 Hf 2.65
Hf 0.7500 0.2500 0.5000  4 Ir 2.65
Hf 0.2500 0.7500 0.5000  4 Ir 2.65
In 0.0000 0.0000 0.0000  8 Ir 3.39, 8 Hf 3.50